[1]
# Ba2SnPb2

Crystalline Ba2SnPb2 at its relaxed geometry (PBE-GGA, the Alexandria database).

abc: 7.209 7.209 12.640
angles: 115.74 115.74 42.23
Sites, in units of the cell vectors:
Ba: 0.102 0.102 0.410
Ba: 0.282 0.282 0.838
Ba: 0.718 0.718 0.162
Ba: 0.898 0.898 0.590
Sn: 0.480 0.480 0.208
Sn: 0.520 0.520 0.792
Pb: 0.086 0.086 0.950
Pb: 0.381 0.381 0.382
Pb: 0.619 0.619 0.618
Pb: 0.914 0.914 0.050

Calculated values
Excess energy over the best structure of this formula in the dataset (meV/atom): 0.0
Total moment (μB/atom): 0.000
Fermi-level density of states (states/eV per atom): 0.2327


[2]
# BaSn2Pb6

Crystalline BaSn2Pb6 at its relaxed geometry (PBE-GGA, the Alexandria database).

abc: 4.966 4.966 12.287
angles: 90.00 90.00 90.00
Sites, in units of the cell vectors:
Ba: 0.000 0.000 0.000
Sn: 0.500 0.500 0.118
Sn: 0.500 0.500 0.882
Pb: 0.000 0.000 0.500
Pb: 0.000 0.500 0.287
Pb: 0.000 0.500 0.713
Pb: 0.500 0.000 0.287
Pb: 0.500 0.000 0.713
Pb: 0.500 0.500 0.500

Calculated values
Excess energy over the best structure of this formula in the dataset (meV/atom): 0.0
Total moment (μB/atom): 0.000
Fermi-level density of states (states/eV per atom): 0.4398


[3]
# BaSn2Pb2

Crystalline BaSn2Pb2 at its relaxed geometry (PBE-GGA, the Alexandria database).

abc: 8.888 8.888 4.335
angles: 90.00 90.00 90.00
Sites, in units of the cell vectors:
Ba: 0.000 0.000 0.000
Ba: 0.500 0.500 0.000
Sn: 0.120 0.380 0.000
Sn: 0.380 0.880 0.000
Sn: 0.620 0.120 0.000
Sn: 0.880 0.620 0.000
Pb: 0.153 0.653 0.500
Pb: 0.347 0.153 0.500
Pb: 0.653 0.847 0.500
Pb: 0.847 0.347 0.500

Calculated values
Excess energy over the best structure of this formula in the dataset (meV/atom): 52.2
Total moment (μB/atom): 0.000
Fermi-level density of states (states/eV per atom): 0.2362


[4]
# BaSnPb3

Crystalline BaSnPb3 at its relaxed geometry (PBE-GGA, the Alexandria database).

abc: 9.366 9.366 8.570
angles: 104.49 104.49 78.47
Sites, in units of the cell vectors:
Ba: 0.039 0.961 0.750
Ba: 0.376 0.624 0.250
Ba: 0.624 0.376 0.750
Ba: 0.961 0.039 0.250
Sn: 0.224 0.559 0.721
Sn: 0.441 0.776 0.779
Sn: 0.559 0.224 0.221
Sn: 0.776 0.441 0.279
Pb: 0.017 0.659 0.390
Pb: 0.018 0.345 0.053
Pb: 0.261 0.321 0.398
Pb: 0.321 0.261 0.898
Pb: 0.341 0.983 0.110
Pb: 0.345 0.018 0.553
Pb: 0.655 0.982 0.447
Pb: 0.659 0.017 0.890
Pb: 0.679 0.739 0.102
Pb: 0.739 0.679 0.602
Pb: 0.982 0.655 0.947
Pb: 0.983 0.341 0.610

Calculated values
Excess energy over the best structure of this formula in the dataset (meV/atom): 21.1
Total moment (μB/atom): 0.000
Fermi-level density of states (states/eV per atom): 0.5300


[5]
# BaSnPb

Crystalline BaSnPb at its relaxed geometry (PBE-GGA, the Alexandria database).

abc: 4.874 4.874 5.498
angles: 90.00 90.00 120.00
Sites, in units of the cell vectors:
Ba: 0.000 0.000 0.000
Sn: 0.333 0.667 0.621
Pb: 0.667 0.333 0.399

Calculated values
Total moment (μB/atom): 0.000
Fermi-level density of states (states/eV per atom): 0.0330
E_tot (eV/atom): -3.72


[6]
# BaSn2Pb

Crystalline BaSn2Pb at its relaxed geometry (PBE-GGA, the Alexandria database).

abc: 8.290 6.920 9.886
angles: 90.00 90.00 90.00
Sites, in units of the cell vectors:
Ba: 0.000 0.250 0.182
Ba: 0.000 0.750 0.818
Ba: 0.500 0.250 0.318
Ba: 0.500 0.750 0.682
Sn: 0.175 0.032 0.522
Sn: 0.175 0.468 0.522
Sn: 0.325 0.532 0.022
Sn: 0.325 0.968 0.022
Sn: 0.675 0.032 0.978
Sn: 0.675 0.468 0.978
Sn: 0.825 0.532 0.478
Sn: 0.825 0.968 0.478
Pb: 0.138 0.750 0.274
Pb: 0.362 0.250 0.774
Pb: 0.638 0.750 0.226
Pb: 0.862 0.250 0.726

Calculated values
Total moment (μB/atom): 0.000
Fermi-level density of states (states/eV per atom): 0.1824
E_tot (eV/atom): -3.78


[7]
# Ba2SnPb2

Crystalline Ba2SnPb2 at its relaxed geometry (PBE-GGA, the Alexandria database).

abc: 8.435 8.435 5.382
angles: 90.00 90.00 90.00
Sites, in units of the cell vectors:
Ba: 0.172 0.328 0.000
Ba: 0.328 0.828 0.000
Ba: 0.672 0.172 0.000
Ba: 0.828 0.672 0.000
Sn: 0.000 0.000 0.500
Sn: 0.500 0.500 0.500
Pb: 0.132 0.632 0.500
Pb: 0.368 0.132 0.500
Pb: 0.632 0.868 0.500
Pb: 0.868 0.368 0.500

Calculated values
Excess energy over the best structure of this formula in the dataset (meV/atom): 35.2
Total moment (μB/atom): 0.000
Fermi-level density of states (states/eV per atom): 0.5576


[8]
# Ba3SnPb8

Crystalline Ba3SnPb8 at its relaxed geometry (PBE-GGA, the Alexandria database).

abc: 11.580 11.580 11.580
angles: 33.90 33.90 33.90
Sites, in units of the cell vectors:
Ba: 0.000 0.000 0.000
Ba: 0.132 0.132 0.132
Ba: 0.519 0.519 0.519
Sn: 0.650 0.650 0.650
Pb: 0.066 0.568 0.568
Pb: 0.068 0.068 0.570
Pb: 0.068 0.570 0.068
Pb: 0.317 0.317 0.317
Pb: 0.568 0.066 0.568
Pb: 0.568 0.568 0.066
Pb: 0.570 0.068 0.068
Pb: 0.821 0.821 0.821

Calculated values
Total moment (μB/atom): 0.000
Fermi-level density of states (states/eV per atom): 0.3464
E_tot (eV/atom): -3.61


[9]
# BaSn2Pb10

Crystalline BaSn2Pb10 at its relaxed geometry (PBE-GGA, the Alexandria database).

abc: 11.551 8.850 8.726
angles: 82.16 49.38 48.46
Sites, in units of the cell vectors:
Ba: 0.000 0.000 0.000
Sn: 0.000 0.000 0.500
Sn: 0.500 0.500 0.000
Pb: 0.000 0.500 0.000
Pb: 0.005 0.646 0.354
Pb: 0.285 0.503 0.497
Pb: 0.354 0.995 0.005
Pb: 0.497 0.715 0.285
Pb: 0.500 0.000 0.500
Pb: 0.503 0.285 0.715
Pb: 0.646 0.005 0.995
Pb: 0.715 0.497 0.503
Pb: 0.995 0.354 0.646

Calculated values
Total moment (μB/atom): 0.000
Fermi-level density of states (states/eV per atom): 0.4459
E_tot (eV/atom): -3.71


[10]
# BaSn3Pb

Crystalline BaSn3Pb at its relaxed geometry (PBE-GGA, the Alexandria database).

abc: 5.853 5.853 5.853
angles: 90.00 90.00 90.00
Sites, in units of the cell vectors:
Ba: 0.000 0.000 0.000
Sn: 0.000 0.500 0.500
Sn: 0.500 0.000 0.500
Sn: 0.500 0.500 0.000
Pb: 0.500 0.500 0.500

Calculated values
Excess energy over the best structure of this formula in the dataset (meV/atom): 482.9
Total moment (μB/atom): 0.000
Fermi-level density of states (states/eV per atom): 0.9557


[11]
# Ba2Sn2Pb3

Crystalline Ba2Sn2Pb3 at its relaxed geometry (PBE-GGA, the Alexandria database).

abc: 13.174 4.792 8.051
angles: 90.00 95.25 90.00
Sites, in units of the cell vectors:
Ba: 0.133 0.000 0.306
Ba: 0.367 0.500 0.694
Ba: 0.633 0.500 0.306
Ba: 0.867 0.000 0.694
Sn: 0.089 0.500 0.625
Sn: 0.411 0.000 0.375
Sn: 0.589 0.000 0.625
Sn: 0.911 0.500 0.375
Pb: 0.000 0.500 0.000
Pb: 0.164 0.000 0.841
Pb: 0.336 0.500 0.159
Pb: 0.500 0.000 0.000
Pb: 0.664 0.500 0.841
Pb: 0.836 0.000 0.159

Calculated values
Excess energy over the best structure of this formula in the dataset (meV/atom): 0.0
Total moment (μB/atom): 0.000
Fermi-level density of states (states/eV per atom): 0.3833


[12]
# BaSnPb

Crystalline BaSnPb at its relaxed geometry (PBE-GGA, the Alexandria database).

abc: 4.405 5.270 10.553
angles: 75.71 77.99 90.00
Sites, in units of the cell vectors:
Ba: 0.000 0.000 0.000
Ba: 0.207 0.208 0.587
Sn: 0.452 0.452 0.096
Sn: 0.860 0.359 0.281
Pb: 0.608 0.610 0.781
Pb: 0.781 0.781 0.439

Calculated values
Total moment (μB/atom): 0.000
Fermi-level density of states (states/eV per atom): 0.6410
E_tot (eV/atom): -3.57